No. 1
Density functional theory data (GGA-PBE) for an optimized crystal structure of Zr5Be2Sb.

- N(E_F): 1.602 states/eV per atom
- Raw total energy: -226.04 eV for the cell shown

abc: 7.002 7.002 12.765
angles: 90.00 90.00 90.00
Space group I4/mcm (No. 140)
Asymmetric unit:
1 Zr 0.000 0.000 0.000 x4
2 Zr 0.163 0.337 0.140 x16
3 Be 0.121 0.379 0.500 x8
4 Sb 0.000 0.000 0.250 x4

=====

No. 2
Density functional theory data (GGA-PBE) for an optimized crystal structure of Zr3BeSb2.

- N(E_F): 0.361 states/eV per atom
- Raw total energy: -163.69 eV for the cell shown

abc: 11.449 3.958 10.824
angles: 90.00 90.00 90.00
Space group Pnma (No. 62)
Asymmetric unit:
1 Zr 0.049 0.250 0.115 x4
2 Zr 0.119 0.750 0.555 x4
3 Zr 0.230 0.250 0.774 x4
4 Be 0.123 0.250 0.370 x4
5 Sb 0.013 0.750 0.307 x4
6 Sb 0.195 0.750 0.990 x4

=====

No. 3
Density functional theory data (GGA-PBE) for an optimized crystal structure of Zr2BeSb2.

- N(E_F): 0.405 states/eV per atom
- Polymorph energy (0 for the lowest one): 0.000 eV per atom
- Raw total energy: -59.26 eV for the cell shown

abc: 7.466 7.466 3.926
angles: 90.00 90.00 90.00
Space group P4/mbm (No. 127)
Asymmetric unit:
1 Zr 0.144 0.356 0.000 x4
2 Be 0.000 0.000 0.500 x2
3 Sb 0.157 0.657 0.500 x4

=====

No. 4
Density functional theory data (GGA-PBE) for an optimized crystal structure of ZrBeSb4.

- N(E_F): 0.769 states/eV per atom
- Raw total energy: -97.87 eV for the cell shown

abc: 8.561 8.561 8.561
angles: 90.00 90.00 90.00
Space group F-43m (No. 216)
Asymmetric unit:
1 Zr 0.000 0.000 0.000 x4
2 Be 0.250 0.250 0.750 x4
3 Sb 0.125 0.125 0.375 x16

=====

No. 5
Density functional theory data (GGA-PBE) for an optimized crystal structure of Zr3BeSb.

- N(E_F): 0.752 states/eV per atom
- Polymorph energy (0 for the lowest one): 0.000 eV per atom
- Raw total energy: -34.01 eV for the cell shown

abc: 4.724 4.724 4.724
angles: 90.00 90.00 90.00
Space group Pm-3m (No. 221)
Asymmetric unit:
1 Zr 0.000 0.000 0.500 x3
2 Be 0.000 0.000 0.000 x1
3 Sb 0.500 0.500 0.500 x1

=====

No. 6
Density functional theory data (GGA-PBE) for an optimized crystal structure of ZrBeSb3.

- N(E_F): 0.920 states/eV per atom
- Polymorph energy (0 for the lowest one): 0.000 eV per atom
- Raw total energy: -22.32 eV for the cell shown

abc: 4.910 4.910 4.910
angles: 90.00 90.00 90.00
Space group Pm-3m (No. 221)
Asymmetric unit:
1 Zr 0.000 0.000 0.000 x1
2 Be 0.500 0.500 0.500 x1
3 Sb 0.000 0.500 0.500 x3